Record 1
Below is FeCu2Ag after structural relaxation, with properties calculated at the GGA-PBEsol level.

Computed properties:
Crystal system: tetragonal
Energy of formation (meV/atom): 182
Energy above the most stable polymorph in this dataset (meV/atom): 0

Lattice parameters (Å, degrees): 2.6245 2.6245 7.3616 90.00 90.00 90.00
Closest atoms and distances in Å follow each position.
Element x y z (fractional)
Fe 0.0000 0.0000 0.0000  8 Cu 2.52, 4 Fe 2.62
Cu 0.5000 0.5000 0.2307  4 Fe 2.52, 4 Cu 2.62, 4 Ag 2.72
Cu 0.5000 0.5000 0.7693  4 Fe 2.52, 4 Cu 2.62, 4 Ag 2.72
Ag 0.0000 0.0000 0.5000  4 Ag 2.62, 8 Cu 2.72

***

Record 2
Below is RbMnIn2S after structural relaxation, with properties calculated at the GGA-PBEsol level.

Computed properties:
Crystal system: tetragonal
E (eV per formula unit): -19.898

Lattice parameters (Å, degrees): 5.9569 5.9569 4.3817 90.00 90.00 90.00
Closest atoms and distances in Å follow each position.
Element x y z (fractional)
Rb 0.0000 0.0000 0.0000  8 In 3.70
Mn 0.5000 0.5000 0.0000  2 S 2.19
In 0.0000 0.5000 0.5000  2 S 2.98
In 0.5000 0.0000 0.5000  2 S 2.98
S 0.5000 0.5000 0.5000  2 Mn 2.19

***

Record 3
Below is CuTe after structural relaxation, with properties calculated at the GGA-PBEsol level.

Computed properties:
Crystal system: trigonal
E (eV per formula unit): -7.915

Lattice parameters (Å, degrees): 3.8163 3.8163 7.1209 90.00 90.00 120.00
Closest atoms and distances in Å follow each position.
Element x y z (fractional)
Cu 0.3333 0.6667 0.0904  3 Cu 2.55, 4 Te 2.56-2.60
Cu 0.6667 0.3333 0.9096  3 Cu 2.55, 4 Te 2.56-2.60
Te 0.3333 0.6667 0.7252  4 Cu 2.56-2.60
Te 0.6667 0.3333 0.2748  4 Cu 2.56-2.60

***

Record 4
Below is As2PbW after structural relaxation, with properties calculated at the GGA-PBEsol level.

Computed properties:
Crystal system: monoclinic
Energy of formation (meV/atom): 574

Lattice parameters (Å, degrees): 3.6199 4.5830 5.1091 90.00 102.45 90.00
Closest atoms and distances in Å follow each position.
Element x y z (fractional)
As 0.1925 0.0000 0.3223  2 As 2.52-2.55, 2 W 2.61
As 0.8075 0.0000 0.6777  2 As 2.52-2.55, 2 W 2.61
Pb 0.5000 0.5000 0.0000  2 W 2.79
W 0.0000 0.5000 0.5000  4 As 2.61, 2 Pb 2.79

***

Record 5
Below is Tm2AlNi2 after structural relaxation, with properties calculated at the GGA-PBEsol level.

Computed properties:
Crystal system: orthorhombic
Energy of formation (meV/atom): -585

Lattice parameters (Å, degrees): 5.2231 5.2231 5.2231 133.56 119.56 79.49
Closest atoms and distances in Å follow each position.
Element x y z (fractional)
Tm 0.2023 0.2023 0.0000  6 Ni 2.77-2.90, 2 Al 3.09
Tm 0.7977 0.7977 0.0000  6 Ni 2.77-2.90, 2 Al 3.09
Al 0.5000 0.0000 0.5000  4 Ni 2.49
Ni 0.2333 0.5000 0.7333  1 Ni 2.45, 2 Al 2.49
Ni 0.7667 0.5000 0.2667  1 Ni 2.45, 2 Al 2.49

***

Record 6
Below is BeAl2Hg after structural relaxation, with properties calculated at the GGA-PBEsol level.

Computed properties:
Crystal system: monoclinic
Energy of formation (meV/atom): 301
Energy above the most stable polymorph in this dataset (meV/atom): 81

Lattice parameters (Å, degrees): 5.5787 5.5787 3.0058 102.70 102.70 125.81
Closest atoms and distances in Å follow each position.
Element x y z (fractional)
Be 0.0000 0.0000 0.0000  2 Hg 2.54, 4 Al 2.79
Al 0.0000 0.5000 0.0000  2 Al 2.54, 2 Hg 2.79, 2 Be 2.79
Al 0.5000 0.0000 0.0000  2 Al 2.54, 2 Hg 2.79, 2 Be 2.79
Hg 0.5000 0.5000 0.0000  2 Be 2.54, 4 Al 2.79

***

Record 7
Below is Gd2SO2 after structural relaxation, with properties calculated at the GGA-PBEsol level.

Computed properties:
Crystal system: trigonal
E (eV per formula unit): -59.777

Lattice parameters (Å, degrees): 3.8197 3.8197 6.5961 90.00 90.00 120.00
Closest atoms and distances in Å follow each position.
Element x y z (fractional)
Gd 0.3333 0.6667 0.2196  4 O 2.28-2.30
Gd 0.6667 0.3333 0.7804  4 O 2.28-2.30
S 0.0000 0.0000 0.5000  6 Gd 2.88
O 0.3333 0.6667 0.8704  4 Gd 2.28-2.30
O 0.6667 0.3333 0.1296  4 Gd 2.28-2.30

***

Record 8
Below is ScZnHg after structural relaxation, with properties calculated at the GGA-PBEsol level.

Computed properties:
Crystal system: hexagonal
Energy of formation (meV/atom): -413

Lattice parameters (Å, degrees): 4.5049 4.5049 3.1871 90.00 90.00 120.00
Closest atoms and distances in Å follow each position.
Element x y z (fractional)
Sc 0.0000 0.0000 0.0000  6 Hg 3.05, 6 Zn 3.05, 2 Sc 3.19
Zn 0.3333 0.6667 0.5000  3 Hg 2.60
Hg 0.6667 0.3333 0.5000  3 Zn 2.60